[1]
Density functional theory data (GGA-PBE) for a relaxed structure of SiNiAg2.

Lattice parameters (Å, degrees): 5.183 5.183 5.183 145.95 128.44 63.24
Atoms (fractional coordinates):
Si (0.000, 0.000, 0.000)
Ni (0.813, 0.313, 0.500)
Ag (0.252, 0.752, 0.500)
Ag (0.539, 0.539, 0.000)

Output
Its crystal system is orthorhombic. The formation energy without anion corrections is 0.078 eV/atom.

=====

[2]
Density functional theory data (GGA-PBE) for a relaxed structure of GeAsP2O.

Lattice parameters (Å, degrees): 4.840 4.840 3.579 90.00 90.00 90.00
Atoms (fractional coordinates):
Ge (0.000, 0.000, 0.000)
As (0.500, 0.500, 0.500)
P (0.000, 0.500, 0.000)
P (0.500, 0.000, 0.000)
O (0.000, 0.000, 0.500)

Output
The value obtained for the excess energy over the best structure of this formula in the dataset is 0.0 meV/atom. Its crystal system is tetragonal. The formation energy without anion corrections is 0.320 eV/atom.

=====

[3]
Density functional theory data (GGA-PBE) for a relaxed structure of InGaSe3.

Lattice parameters (Å, degrees): 7.052 7.052 11.015 94.74 94.74 32.09
Atoms (fractional coordinates):
In (0.158, 0.158, 0.389)
In (0.842, 0.842, 0.611)
Ga (0.422, 0.422, 0.211)
Ga (0.578, 0.578, 0.789)
Se (0.146, 0.146, 0.891)
Se (0.358, 0.358, 0.428)
Se (0.395, 0.395, 0.770)
Se (0.605, 0.605, 0.230)
Se (0.642, 0.642, 0.572)
Se (0.854, 0.854, 0.109)

Output
Its crystal system is monoclinic. The formation energy without anion corrections is -0.495 eV/atom.

=====

[4]
Density functional theory data (GGA-PBE) for a relaxed structure of BiPtI2N.

Lattice parameters (Å, degrees): 6.178 6.178 4.184 90.00 90.00 90.00
Atoms (fractional coordinates):
Bi (0.000, 0.000, 0.000)
Pt (0.500, 0.500, 0.500)
I (0.000, 0.500, 0.000)
I (0.500, 0.000, 0.000)
N (0.000, 0.000, 0.500)

Output
The value obtained for the excess energy over the best structure of this formula in the dataset is 879.8 meV/atom. Its crystal system is tetragonal. The formation energy without anion corrections is 1.378 eV/atom.

=====

[5]
Density functional theory data (GGA-PBE) for a relaxed structure of CrWSe2N.

Lattice parameters (Å, degrees): 5.072 5.072 3.802 90.00 90.00 90.00
Atoms (fractional coordinates):
Cr (0.000, 0.000, 0.000)
W (0.500, 0.500, 0.500)
Se (0.000, 0.500, 0.500)
Se (0.500, 0.000, 0.500)
N (0.500, 0.500, 0.000)

Output
The value obtained for the excess energy over the best structure of this formula in the dataset is 0.0 meV/atom. Its crystal system is tetragonal. The formation energy without anion corrections is 0.334 eV/atom.

=====

[6]
Density functional theory data (GGA-PBE) for a relaxed structure of PuNi2Pt3.

Lattice parameters (Å, degrees): 7.842 7.842 7.842 42.01 42.01 42.01
Atoms (fractional coordinates):
Pu (0.212, 0.212, 0.212)
Pu (0.788, 0.788, 0.788)
Ni (0.000, 0.000, 0.000)
Ni (0.000, 0.500, 0.500)
Ni (0.500, 0.000, 0.500)
Ni (0.500, 0.500, 0.000)
Pt (0.241, 0.736, 0.736)
Pt (0.264, 0.264, 0.759)
Pt (0.264, 0.759, 0.264)
Pt (0.736, 0.241, 0.736)
Pt (0.736, 0.736, 0.241)
Pt (0.759, 0.264, 0.264)

Output
Its crystal system is trigonal. The calculation puts the energy of formation from the pure elements at -316 meV per atom.

=====

> What is the formula in the second record?

GeAsP2O

=====

> Number 2 is which compound?

GeAsP2O